Record 1
VASP calculation (PBE) on a relaxed ZrMnW2 crystal.

For the energy above the most stable polymorph in this dataset, the calculation gives 0.026 eV/atom. The space group is Immm (71).

Geometry as extended XYZ:
```
4
Lattice="5.346 0.001 -0.001 2.541 4.704 0.001 -3.469 -3.148 2.576" Properties=species:S:1:pos:R:3 pbc="T T T"
Mn 1.508 1.954 1.289
W 0.094 0.056 0.000
W 3.849 2.296 0.000
Zr 2.911 -0.398 1.288
```

Record 2
VASP calculation (PBE) on a relaxed VTcMoW crystal.

For the energy above the most stable polymorph in this dataset, the calculation gives 0.014 eV/atom. The space group is P4mm (99).

Geometry as extended XYZ:
```
4
Lattice="3.108 0.000 0.000 0.000 3.108 0.000 0.000 0.000 6.213" Properties=species:S:1:pos:R:3 pbc="T T T"
V 0.000 0.000 2.219
Tc 1.554 1.554 0.704
Mo 1.554 1.554 3.725
W 0.000 0.000 5.331
```

Record 3
VASP calculation (PBE) on a relaxed BaCr2N2 crystal.

For the energy above the most stable polymorph in this dataset, the calculation gives 1.063 eV/atom. The space group is P4/mbm (127). As for the energy relative to the elements, uncorrected: 659 meV/atom.

Geometry as extended XYZ:
```
10
Lattice="-2.935 4.755 -4.379 -5.997 -0.208 3.794 0.983 2.145 1.671" Properties=species:S:1:pos:R:3 pbc="T T T"
Cr -3.351 1.398 2.677
Cr -6.684 3.711 1.667
Cr -4.598 5.294 -1.592
Cr -1.265 2.981 -0.582
Ba 0.000 0.000 0.000
Ba -4.466 2.273 -0.293
N -6.355 1.605 1.677
N -6.314 4.034 -1.467
N -2.577 2.942 -2.262
N -2.618 0.513 0.881
```

Record 4
VASP calculation (PBE) on a relaxed Cs3Na2ScCl9 crystal.

The space group is P-3m1 (164). As for the energy relative to the elements, uncorrected: -1834 meV/atom.

Geometry as extended XYZ:
```
15
Lattice="7.501 0.000 0.000 -3.750 6.496 0.000 0.000 0.000 9.577" Properties=species:S:1:pos:R:3 pbc="T T T"
Cs 0.000 4.331 6.441
Cs 0.000 0.000 0.000
Cs 3.750 2.165 3.136
Na 0.000 4.331 1.717
Na 3.750 2.165 7.860
Sc 0.000 0.000 4.788
Cl 5.733 1.021 6.236
Cl 3.750 4.454 6.236
Cl 1.768 1.021 6.236
Cl 1.982 5.475 3.341
Cl 0.000 2.042 3.341
Cl -1.982 5.475 3.341
Cl 3.750 0.000 0.000
Cl -1.875 3.248 0.000
Cl 1.875 3.248 0.000
```

Record 5
VASP calculation (PBE) on a relaxed PrNdSn crystal.

For the energy above the most stable polymorph in this dataset, the calculation gives 0.025 eV/atom. The space group is P6_3/mmc (194).

Geometry as extended XYZ:
```
6
Lattice="5.163 0.000 -2.171 0.000 6.814 0.000 -0.702 0.000 5.554" Properties=species:S:1:pos:R:3 pbc="T T T"
Pr 1.604 5.111 0.203
Pr 2.856 1.704 3.180
Nd -0.351 3.407 2.777
Nd -0.351 0.000 2.777
Sn 2.857 5.111 3.182
Sn 1.603 1.704 0.201
```

Record 6
VASP calculation (PBE) on a relaxed PrDyTc4 crystal.

The space group is F-43m (216). As for the total energy: -8.48 eV per atom.

Geometry as extended XYZ:
```
6
Lattice="5.461 0.000 0.000 2.730 4.729 0.000 2.730 1.576 4.459" Properties=species:S:1:pos:R:3 pbc="T T T"
Pr 2.730 1.576 1.115
Tc 5.461 3.153 0.555
Tc 5.461 1.574 2.787
Tc 6.827 3.942 2.787
Tc 4.094 3.942 2.787
Dy 0.000 0.000 0.000
```

Record 7
VASP calculation (PBE) on a relaxed Mg5In4Pb crystal.

The space group is P4/mmm (123). As for the total energy: -2.33 eV per atom.

Geometry as extended XYZ:
```
10
Lattice="-0.216 3.603 0.308 -2.686 0.046 -2.430 -12.330 -1.902 13.590" Properties=species:S:1:pos:R:3 pbc="T T T"
Mg -2.823 1.613 0.451
Mg -5.219 1.244 3.091
Mg -7.616 0.874 5.734
Mg -10.014 0.504 8.377
Mg -12.410 0.134 11.017
In -2.572 -0.397 2.835
In -4.978 -0.768 5.487
In -7.352 -1.134 8.104
In -9.758 -1.505 10.755
Pb 0.000 0.000 0.000
```

Record 8
VASP calculation (PBE) on a relaxed RbSnB crystal.

The space group is Imm2 (44). As for the total energy: -3.59 eV per atom.

Geometry as extended XYZ:
```
6
Lattice="-3.083 1.725 4.345 -4.594 -2.744 -2.170 -2.522 -4.799 3.724" Properties=species:S:1:pos:R:3 pbc="T T T"
B -5.283 -2.941 7.219
B -3.076 -4.175 4.110
Sn -7.240 -2.444 3.050
Sn -4.459 -2.648 5.105
Rb -3.531 -1.512 1.703
Rb -5.167 -5.035 1.941
```

Record 9
VASP calculation (PBE) on a relaxed SrHoCuAu crystal.

The space group is F-43m (216). As for the total energy: -3.77 eV per atom.

Geometry as extended XYZ:
```
4
Lattice="5.162 0.000 0.000 2.581 4.470 0.000 2.581 1.490 4.215" Properties=species:S:1:pos:R:3 pbc="T T T"
Sr 5.162 2.980 2.107
Au 7.743 4.470 3.161
Ho 0.000 0.000 0.000
Cu 2.581 1.490 1.054
```

Record 10
VASP calculation (PBE) on a relaxed PmNdGe3 crystal.

The space group is Cmcm (63). As for the total energy: -5.35 eV per atom.

Geometry as extended XYZ:
```
10
Lattice="4.088 0.000 0.000 0.000 4.310 0.000 0.000 -2.155 13.603" Properties=species:S:1:pos:R:3 pbc="T T T"
Pm 1.022 0.000 1.933
Pm 3.066 2.155 11.670
Nd 1.022 2.155 8.079
Nd 3.066 0.000 5.524
Ge 1.022 0.000 10.294
Ge 3.066 2.155 3.308
Ge 1.022 0.000 12.839
Ge 3.066 2.155 0.764
Ge 3.066 0.000 8.618
Ge 1.022 2.155 4.985
```

Record 11
VASP calculation (PBE) on a relaxed SmHfOs crystal.

The space group is P2_1/m (11). As for the total energy: -8.93 eV per atom.

Geometry as extended XYZ:
```
18
Lattice="4.467 0.000 0.000 0.000 7.129 -0.055 0.000 -0.081 12.825" Properties=species:S:1:pos:R:3 pbc="T T T"
Sm 3.350 3.631 4.819
Sm 1.117 0.013 9.089
Sm 3.350 7.035 3.681
Sm 3.350 4.428 1.099
Sm 1.117 3.417 7.951
Sm 1.117 2.620 11.671
Os 1.117 5.652 11.425
Os 3.350 2.041 9.676
Os 3.350 5.486 7.266
Os 3.350 1.397 1.345
Os 1.117 1.562 5.504
Os 1.117 5.008 3.094
Hf 1.117 6.878 1.054
Hf 1.117 6.054 5.835
Hf 3.350 4.664 10.065
Hf 3.350 0.994 6.935
Hf 1.117 2.384 2.705
Hf 3.350 0.170 11.716
```

Record 12
VASP calculation (PBE) on a relaxed MgHIr3 crystal.

For the energy above the most stable polymorph in this dataset, the calculation gives 0.052 eV/atom. The space group is Pm-3m (221).

Geometry as extended XYZ:
```
5
Lattice="3.963 0.000 0.000 0.000 3.963 0.000 0.000 0.000 3.963" Properties=species:S:1:pos:R:3 pbc="T T T"
H 0.000 0.000 0.000
Mg 1.982 1.982 1.982
Ir 0.000 1.982 0.000
Ir 0.000 0.000 1.982
Ir 1.982 0.000 0.000
```

Record 13
VASP calculation (PBE) on a relaxed TlNi4Te8 crystal.

The space group is R-3m (166). As for the energy relative to the elements, uncorrected: -156 meV/atom.

Geometry as extended XYZ:
```
13
Lattice="-1.945 -6.565 3.345 2.146 -6.630 -3.085 6.683 -4.215 4.295" Properties=species:S:1:pos:R:3 pbc="T T T"
Tl 3.442 -8.705 2.277
Ni -0.972 -3.283 1.672
Ni 0.101 -6.598 0.130
Ni 1.073 -3.315 -1.542
Ni 0.000 0.000 0.000
Te 0.245 -7.649 2.492
Te 4.593 -9.729 5.279
Te 6.639 -9.761 2.063
Te 5.566 -6.445 3.606
Te 1.212 -4.367 0.815
Te 5.672 -13.043 3.740
Te 1.318 -10.965 0.949
Te 2.291 -7.681 -0.724
```

Record 14
VASP calculation (PBE) on a relaxed Ba2In6SnPb crystal.

The space group is R-3m (166). As for the total energy: -2.91 eV per atom.

Geometry as extended XYZ:
```
20
Lattice="-1.235 -6.030 4.351 5.189 -5.449 0.451 7.584 3.079 12.950" Properties=species:S:1:pos:R:3 pbc="T T T"
Ba 6.129 -9.082 8.743
Ba 5.408 0.681 9.009
Ba 9.395 -5.483 14.657
Ba 2.143 -2.917 3.095
In 3.465 -6.369 9.182
In 7.367 -6.016 6.814
In 4.215 -2.706 6.540
In 8.073 -2.032 8.570
In 4.171 -2.385 10.939
In 7.322 -5.695 11.212
In 7.171 -2.405 14.442
In 9.807 -2.167 12.841
In 7.677 0.069 12.656
In 4.367 -5.996 3.310
In 1.731 -6.234 4.911
In 3.860 -8.470 5.096
Sn 4.395 -5.715 6.387
Sn 7.143 -2.686 11.365
Pb 0.000 0.000 0.000
Pb 5.769 -4.200 8.876
```

Record 15
VASP calculation (PBE) on a relaxed La5PrIn2 crystal.

For the energy above the most stable polymorph in this dataset, the calculation gives 0.000 eV/atom. The space group is Pbam (55).

Geometry as extended XYZ:
```
16
Lattice="-2.334 4.136 1.726 -5.645 -3.969 1.877 5.789 -2.123 12.916" Properties=species:S:1:pos:R:3 pbc="T T T"
La 0.000 0.000 0.000
La 0.072 -3.046 7.397
La 1.579 -3.544 10.627
La -1.435 -2.549 4.166
La 1.404 -0.570 3.265
La -1.260 -5.523 11.528
La 2.508 -0.770 12.633
La -4.698 -1.187 3.886
La -0.424 0.265 6.188
La -1.766 -2.222 10.332
Pr 2.894 -1.062 6.458
Pr -2.822 -1.985 0.939
In 1.063 -0.231 9.387
In -3.253 -1.726 7.132
In -1.885 0.793 2.947
In -0.305 -2.750 13.572
```

Record 16
VASP calculation (PBE) on a relaxed K5InBr8 crystal.

For the energy above the most stable polymorph in this dataset, the calculation gives 0.016 eV/atom. The space group is F-43m (216). As for the energy relative to the elements, uncorrected: -1409 meV/atom.

Geometry as extended XYZ:
```
14
Lattice="-8.234 1.827 4.617 -8.382 -0.693 -4.661 -6.060 -7.180 2.046" Properties=species:S:1:pos:R:3 pbc="T T T"
K 0.000 0.000 0.000
K -11.127 0.030 0.169
K -14.391 -3.836 1.271
K -9.957 -4.820 -1.216
K -9.877 -3.463 3.781
In -5.669 -1.511 0.501
Br -12.867 -2.561 -1.908
Br -12.784 -1.141 3.322
Br -8.143 -2.171 0.719
Br -11.559 -6.218 1.873
Br -16.824 -1.883 0.779
Br -15.807 -6.095 -0.423
Br -19.659 -5.241 1.736
Br -15.738 -4.917 3.916
```

Record 17
VASP calculation (PBE) on a relaxed LaTbSm6Tm2 crystal.

The space group is C2/c (15). As for the total energy: -4.56 eV per atom.

Geometry as extended XYZ:
```
20
Lattice="-9.523 0.308 1.776 -0.491 -7.488 -4.740 2.207 -0.764 8.563" Properties=species:S:1:pos:R:3 pbc="T T T"
La -1.268 -3.415 3.611
La -6.539 -4.530 1.988
Tb -2.788 -7.203 -3.884
Tb -5.019 -0.742 9.483
Sm 1.091 -1.390 6.072
Sm -2.388 -2.350 7.262
Sm -8.898 -6.555 -0.473
Sm -5.419 -5.595 -1.664
Sm -2.569 -7.566 -0.359
Sm -1.948 -4.200 -2.187
Sm -5.238 -0.379 5.958
Sm -5.859 -3.745 7.785
Sm -0.414 -5.615 1.062
Sm -3.213 -3.933 0.780
Sm -7.393 -2.330 4.536
Sm -4.594 -4.012 4.819
Tm -3.149 -6.426 3.042
Tm -0.161 -2.331 0.366
Tm -4.658 -1.518 2.557
Tm -7.646 -5.614 5.233
```

Record 18
VASP calculation (PBE) on a relaxed Tb5AlCu2 crystal.

The space group is I4/mcm (140). As for the total energy: -4.58 eV per atom.

Geometry as extended XYZ:
```
16
Lattice="-1.163 -7.761 0.153 7.423 -1.067 2.318 -5.005 4.817 4.955" Properties=species:S:1:pos:R:3 pbc="T T T"
Tb 1.024 -1.305 5.210
Tb 4.940 -5.888 3.850
Tb 0.000 0.000 0.000
Tb 3.130 -4.414 1.235
Tb -3.686 1.877 3.577
Tb -2.902 -2.200 4.080
Tb 0.240 2.772 4.707
Tb 4.156 -1.811 3.347
Tb 1.015 -6.783 2.719
Tb 0.231 -2.706 2.216
Al 2.192 -4.213 4.331
Al -0.938 0.202 3.095
Cu 2.625 -1.381 0.885
Cu 0.211 -4.998 0.389
Cu 6.049 -3.830 2.082
Cu 3.635 -7.447 1.586
```

Record 19
VASP calculation (PBE) on a relaxed Li2Ga2Pt crystal.

For the energy above the most stable polymorph in this dataset, the calculation gives 0.210 eV/atom. The space group is P4/mbm (127).

Geometry as extended XYZ:
```
10
Lattice="-3.818 0.707 5.435 -5.106 -2.867 -3.214 1.007 -3.028 1.101" Properties=species:S:1:pos:R:3 pbc="T T T"
Ga -5.781 -2.215 -0.803
Ga -6.549 -1.220 2.632
Ga -3.143 0.055 3.025
Ga -2.375 -0.939 -0.411
Pt 0.000 0.000 0.000
Pt -4.462 -1.080 1.111
Li -3.538 -3.308 -0.685
Li -6.296 -3.431 1.497
Li -4.378 -1.880 4.008
Li -1.620 -1.757 1.825
```

Record 20
VASP calculation (PBE) on a relaxed PtI2Br8 crystal.

The space group is C2/m (12). As for the energy relative to the elements, uncorrected: 15 meV/atom.

Geometry as extended XYZ:
```
11
Lattice="-0.643 -5.299 4.767 -6.028 -0.512 -6.755 11.464 -0.396 1.108" Properties=species:S:1:pos:R:3 pbc="T T T"
Pt 0.000 0.000 0.000
I 2.190 -5.398 -0.332
I 2.602 -0.809 -0.548
Br -1.101 -5.029 2.334
Br -0.778 -2.365 -0.062
Br 5.893 -1.178 -3.215
Br 2.014 -2.515 -2.524
Br 5.570 -3.842 -0.819
Br -2.828 -5.160 -0.744
Br 7.620 -1.048 -0.136
Br 2.778 -3.692 1.644
```

Record 21
VASP calculation (PBE) on a relaxed PmGdPt crystal.

For the energy above the most stable polymorph in this dataset, the calculation gives 0.143 eV/atom. The space group is P3m1 (156).

Geometry as extended XYZ:
```
3
Lattice="4.168 0.000 0.000 0.000 4.700 0.000 0.000 -2.350 4.070" Properties=species:S:1:pos:R:3 pbc="T T T"
Gd 1.089 0.000 2.714
Pt 0.063 0.000 0.000
Pm 3.016 2.350 1.357
```

Record 22
VASP calculation (PBE) on a relaxed BeAg3 crystal.

The space group is Pmmn (59). As for the total energy: -2.86 eV per atom.

Geometry as extended XYZ:
```
8
Lattice="-3.474 1.747 2.417 -3.126 -1.440 -3.452 -0.647 -4.959 2.654" Properties=species:S:1:pos:R:3 pbc="T T T"
Be -2.125 -0.979 -2.347
Be -3.061 -2.067 1.430
Ag -2.823 0.373 0.009
Ag -2.363 -3.419 -0.926
Ag -0.694 -1.481 0.074
Ag -1.018 -3.968 1.405
Ag -4.815 -4.037 0.333
Ag -4.493 -1.565 -0.990
```

| no. | density (Mg/m³) |
| --- | --- |
| 1 | 13.17 |
| 2 | 11.86 |
| 3 | 6.14 |
| 4 | 2.88 |
| 5 | 7.25 |
| 6 | 10.03 |
| 7 | 5.40 |
| 8 | 4.24 |
| 9 | 8.76 |
| 10 | 7.03 |
| 11 | 12.66 |
| 12 | 16.06 |
| 13 | 6.15 |
| 14 | 5.92 |
| 15 | 6.84 |
| 16 | 2.51 |
| 17 | 7.59 |
| 18 | 7.89 |
| 19 | 7.68 |
| 20 | 4.34 |
| 21 | 10.36 |
| 22 | 8.74 |